Record 1
DFT (meta-GGA SCAN) results for LiLa2ReO6 at its PBEsol-relaxed geometry.

```
data_LiLa2ReO6
_chemical_formula_sum 'Li2 La4 Re2 O12'
_space_group_name_H-M_alt 'P 1'
_space_group_IT_number 1
_space_group_name_Hall 'P 1'
_cell_length_a 5.518
_cell_length_b 5.687
_cell_length_c 9.530
_cell_angle_alpha 90.00
_cell_angle_beta 124.91
_cell_angle_gamma 90.00
loop_
_atom_site_label
_atom_site_fract_x
_atom_site_fract_y
_atom_site_fract_z
_atom_site_occupancy
Li1 0.000 0.000 0.000 1
Li2 0.000 0.500 0.500 1
La1 0.237 0.055 0.748 1
La2 0.237 0.445 0.248 1
La3 0.763 0.555 0.752 1
La4 0.763 0.945 0.252 1
Re1 0.500 0.000 0.500 1
Re2 0.500 0.500 0.000 1
O1 0.167 0.195 0.456 1
O2 0.167 0.305 0.956 1
O3 0.261 0.716 0.452 1
O4 0.261 0.784 0.952 1
O5 0.342 0.022 0.256 1
O6 0.342 0.478 0.756 1
O7 0.658 0.522 0.244 1
O8 0.658 0.978 0.744 1
O9 0.739 0.216 0.048 1
O10 0.739 0.284 0.548 1
O11 0.833 0.695 0.044 1
O12 0.833 0.805 0.544 1
```

Computed properties:
For the total magnetization, the calculation gives 4.00 Bohr magnetons per cell. The value obtained for the formation energy (no corrections) is -2.858 eV/atom. As for the space group: No. 14.

Record 2
DFT (meta-GGA SCAN) results for Li2CaBi2 at its PBEsol-relaxed geometry.

```
data_Li2CaBi2
_chemical_formula_sum 'Li4 Ca2 Bi4'
_space_group_name_H-M_alt 'P 1'
_space_group_IT_number 1
_space_group_name_Hall 'P 1'
_cell_length_a 8.272
_cell_length_b 8.272
_cell_length_c 3.481
_cell_angle_alpha 90.00
_cell_angle_beta 90.00
_cell_angle_gamma 90.00
loop_
_atom_site_label
_atom_site_fract_x
_atom_site_fract_y
_atom_site_fract_z
_atom_site_occupancy
Li1 0.115 0.385 0.000 1
Li2 0.385 0.885 0.000 1
Li3 0.615 0.115 0.000 1
Li4 0.885 0.615 0.000 1
Ca1 0.000 0.000 0.000 1
Ca2 0.500 0.500 0.000 1
Bi1 0.179 0.679 0.500 1
Bi2 0.321 0.179 0.500 1
Bi3 0.679 0.821 0.500 1
Bi4 0.821 0.321 0.500 1
```

Computed properties:
For the energy relative to the lowest polymorph listed for this composition, the calculation gives 0.000 eV/atom. For the total magnetization, the calculation gives 0.00 Bohr magnetons per cell. The calculation puts the formation energy at -58 kJ/mol of atoms. As for the space group: No. 127.

Record 3
DFT (meta-GGA SCAN) results for ZnCl2F2 at its PBEsol-relaxed geometry.

```
data_ZnCl2F2
_chemical_formula_sum 'Zn2 Cl4 F4'
_space_group_name_H-M_alt 'P 1'
_space_group_IT_number 1
_space_group_name_Hall 'P 1'
_cell_length_a 5.438
_cell_length_b 5.438
_cell_length_c 6.174
_cell_angle_alpha 90.00
_cell_angle_beta 90.00
_cell_angle_gamma 90.00
loop_
_atom_site_label
_atom_site_fract_x
_atom_site_fract_y
_atom_site_fract_z
_atom_site_occupancy
Zn1 0.000 0.000 0.000 1
Zn2 0.500 0.500 0.000 1
Cl1 0.130 0.370 0.500 1
Cl2 0.370 0.870 0.500 1
Cl3 0.630 0.130 0.500 1
Cl4 0.870 0.630 0.500 1
F1 0.211 0.711 0.000 1
F2 0.289 0.211 0.000 1
F3 0.711 0.789 0.000 1
F4 0.789 0.289 0.000 1
```

Computed properties:
For the total magnetization, the calculation gives 0.00 Bohr magnetons per cell. The value obtained for the formation energy (no corrections) is -1.253 eV/atom. As for the space group: No. 127.